Record 1
VASP calculation (PBE) on an optimized crystal structure of Ag4TeS5.

```
Ag4TeS5
1.0
5.3110 0.0000 0.0000
2.6555 6.1032 0.0000
2.6555 0.0000 6.1032
Ag Te S
4 1 5
Cartesian
5.3157 3.6686 1.1791 Ag
2.6602 1.1791 2.4347 Ag
5.3157 2.4347 4.9241 Ag
7.9712 4.9241 3.6686 Ag
0.0074 0.0000 0.0000 Te
2.6603 3.7933 1.2961 S
7.9713 2.3099 4.8071 S
5.3158 1.2961 2.3099 S
2.6652 0.0000 0.0000 S
5.3158 4.8071 3.7933 S
```

Computed properties:
Energy relative to the elements, uncorrected, meV/atom: 40.0
Symmetry: I4/m

=====

Record 2
VASP calculation (PBE) on an optimized crystal structure of ZnCuCl2.

```
ZnCuCl2
1.0
5.6855 -0.0613 -0.0073
4.7594 3.1108 -0.0073
0.9266 0.2705 5.2785
Cu Zn Cl
1 1 2
Cartesian
6.4767 1.8909 0.8647 Cu
2.6308 0.7681 2.1677 Zn
8.2621 2.4121 3.8786 Cl
10.1327 2.9583 0.9704 Cl
```

Computed properties:
Energy relative to the elements, uncorrected, meV/atom: -390.5
Symmetry: Cm
Offset from the most stable computed form, kJ/mol of atoms: 4.5

=====

Record 3
VASP calculation (PBE) on an optimized crystal structure of Ru2W3.

```
Ru2W3
1.0
6.8044 -6.8216 0.0000
6.8044 6.8216 0.0000
0.0000 0.0000 4.9708
Ru W
12 18
Cartesian
6.8044 2.5519 3.6779 Ru
9.0589 1.3379 2.4971 Ru
0.0000 0.0000 0.0258 Ru
4.5500 1.3379 2.4971 Ru
6.8044 -2.5519 3.6779 Ru
9.0589 -1.3379 2.4971 Ru
5.4878 -4.5467 0.0238 Ru
5.4878 4.5467 0.0238 Ru
6.8044 0.0000 2.4936 Ru
8.1211 4.5467 0.0238 Ru
8.1211 -4.5467 0.0238 Ru
4.5500 -1.3379 2.4971 Ru
11.1579 0.0000 3.7320 W
8.2219 0.0000 4.9672 W
9.5629 2.2689 4.9551 W
9.5629 -2.2689 4.9551 W
9.0608 4.0176 2.4837 W
5.3869 0.0000 4.9672 W
4.5481 -4.0176 2.4837 W
6.8044 -5.4160 2.5123 W
6.8044 5.4160 2.5123 W
4.5481 4.0176 2.4837 W
4.0459 2.2689 4.9551 W
4.0459 -2.2689 4.9551 W
2.4619 0.0000 1.2561 W
6.8044 -2.3822 1.1990 W
11.1470 0.0000 1.2561 W
9.0608 -4.0176 2.4837 W
2.4509 0.0000 3.7320 W
6.8044 2.3822 1.1990 W
```

Computed properties:
Formation enthalpy at 0 K, eV/atom: 0.0423
Symmetry: Cmm2
Offset from the most stable computed form, kJ/mol of atoms: 0.0